[1]
A relaxed structure of TbGaHg. Source: Alexandria, functional PBE.

Output
Density: 9.7 g cm⁻³
Space-group type: F-43m
Volume: 73.7 Å³/f.u.
Magnetization: 0.00 μB/atom

abc: 4.7054 4.7054 4.7054
angles: 60.00 60.00 60.00
Last column: nearest neighbours and their distance in Å.
Sites, in units of the cell vectors:
Hg: 0.5000 0.5000 0.5000  4 Ga 2.88
Ga: 0.2500 0.2500 0.2500  4 Tb 2.88, 4 Hg 2.88
Tb: 0.0000 0.0000 0.0000  4 Ga 2.88

---

[2]
A relaxed structure of TbGaHg. Source: Alexandria, functional PBE.

Output
Density: 10.4 g cm⁻³
Space-group type: P6_3/mmc
Volume: 68.3 Å³/f.u.
Magnetization: 0.00 μB/atom

abc: 4.6533 4.6533 7.2862
angles: 90.00 90.00 120.00
Last column: nearest neighbours and their distance in Å.
Sites, in units of the cell vectors:
Tb: 0.0000 0.5000 0.5000  6 Ga 3.25, 6 Hg 3.25
Hg: 0.3334 0.1666 0.2500  3 Ga 2.69
Hg: 0.6666 0.8334 0.7500  3 Ga 2.69
Tb: 0.0000 0.5000 0.0000  6 Ga 3.25, 6 Hg 3.25
Ga: 0.6668 0.8332 0.2500  3 Hg 2.69
Ga: 0.3332 0.1668 0.7500  3 Hg 2.69

---

[3]
A relaxed structure of Tb3GaHg2. Source: Alexandria, functional PBE.

Output
Excess energy over the best structure of this formula in the dataset: 0.000 eV per atom
Density: 10.4 g cm⁻³
Space-group type: P4/mmm
Volume: 150.7 Å³/f.u.
Magnetization: 0.00 μB/atom

abc: 3.6769 3.6769 11.1470
angles: 90.00 90.00 90.00
Last column: nearest neighbours and their distance in Å.
Sites, in units of the cell vectors:
Tb: 0.0000 0.0000 0.6563  4 Ga 3.13, 4 Hg 3.24, 1 Tb 3.49
Tb: 0.0000 0.0000 0.0000  8 Hg 3.22
Tb: 0.0000 0.0000 0.3437  4 Ga 3.13, 4 Hg 3.24, 1 Tb 3.49
Hg: 0.5000 0.5000 0.1706  8 Tb 3.22-3.24
Ga: 0.5000 0.5000 0.5000  8 Tb 3.13
Hg: 0.5000 0.5000 0.8294  8 Tb 3.22-3.24

---

[4]
A relaxed structure of Tb6Ga2Hg. Source: Alexandria, functional PBE.

Output
Excess energy over the best structure of this formula in the dataset: 0.204 eV per atom
Density: 8.0 g cm⁻³
Space-group type: Immm
Volume: 268.7 Å³/f.u.
Magnetization: 0.00 μB/atom

abc: 4.9927 7.1259 8.7151
angles: 114.13 106.63 90.00
Last column: nearest neighbours and their distance in Å.
Sites, in units of the cell vectors:
Ga: 0.6672 0.6674 0.3348  8 Tb 3.05-3.07
Tb: 0.8311 0.5796 0.6620  3 Ga 3.05-3.06, 1 Hg 3.12
Tb: 0.1689 0.4204 0.3380  3 Ga 3.05-3.06, 1 Hg 3.12
Tb: 0.1689 0.9176 0.3380  3 Ga 3.05-3.06, 1 Hg 3.12
Tb: 0.5000 0.2559 0.0000  2 Ga 3.07, 2 Hg 3.09
Tb: 0.5000 0.7441 0.0000  2 Ga 3.07, 2 Hg 3.09
Tb: 0.8311 0.0824 0.6620  3 Ga 3.05-3.06, 1 Hg 3.12
Hg: 0.0000 0.0000 0.0000  8 Tb 3.09-3.12
Ga: 0.3328 0.3326 0.6652  8 Tb 3.05-3.07

---

[5]
A relaxed structure of TbGaHg. Source: Alexandria, functional PBE.

Output
Density: 10.5 g cm⁻³
Space-group type: C2/m
Volume: 68.1 Å³/f.u.
Magnetization: 0.00 μB/atom

abc: 4.5491 5.9966 5.8906
angles: 75.86 67.29 67.71
Last column: nearest neighbours and their distance in Å.
Sites, in units of the cell vectors:
Tb: 0.5421 0.7085 0.2072  5 Ga 3.09-3.28, 6 Hg 3.18-3.41
Ga: 0.1546 0.3361 0.3547  1 Ga 2.54, 2 Hg 2.72
Tb: 0.4579 0.2915 0.7928  5 Ga 3.09-3.28, 6 Hg 3.18-3.41
Hg: 0.1723 0.8963 0.7591  2 Ga 2.72, 1 Hg 2.98
Ga: 0.8454 0.6639 0.6453  1 Ga 2.54, 2 Hg 2.72
Hg: 0.8277 0.1037 0.2409  2 Ga 2.72, 1 Hg 2.98

---

[6]
A relaxed structure of Tb5GaHg4. Source: Alexandria, functional PBE.

Output
Density: 10.8 g cm⁻³
Space-group type: P4/mmm
Volume: 255.1 Å³/f.u.
Magnetization: 0.03 μB/atom

abc: 3.6996 3.6996 18.6409
angles: 90.00 90.00 90.00
Last column: nearest neighbours and their distance in Å.
Sites, in units of the cell vectors:
Tb: 0.5000 0.5000 0.7032  8 Hg 3.23
Tb: 0.5000 0.5000 0.0928  4 Ga 3.14, 4 Hg 3.23, 1 Tb 3.46
Hg: 0.0000 0.0000 0.6019  8 Tb 3.23
Hg: 0.0000 0.0000 0.8052  8 Tb 3.23
Hg: 0.0000 0.0000 0.1948  8 Tb 3.23
Tb: 0.5000 0.5000 0.9072  4 Ga 3.14, 4 Hg 3.23, 1 Tb 3.46
Tb: 0.5000 0.5000 0.5000  8 Hg 3.23
Ga: 0.0000 0.0000 0.0000  8 Tb 3.14
Tb: 0.5000 0.5000 0.2968  8 Hg 3.23
Hg: 0.0000 0.0000 0.3981  8 Tb 3.23

---

[7]
A relaxed structure of Tb5Ga2Hg. Source: Alexandria, functional PBE.

Output
Excess energy over the best structure of this formula in the dataset: 0.141 eV per atom
Density: 9.2 g cm⁻³
Space-group type: I4/mmm
Volume: 204.1 Å³/f.u.
Magnetization: 0.00 μB/atom

abc: 6.8498 6.8498 6.5115
angles: 121.77 121.77 89.95
Last column: nearest neighbours and their distance in Å.
Sites, in units of the cell vectors:
Ga: 0.2222 0.7222 0.4444  10 Tb 3.25-3.43, 2 Hg 3.42-3.43
Tb: 0.7221 0.7222 0.4444  8 Tb 3.25-3.26, 4 Ga 3.42-3.43
Tb: 0.2221 0.2221 0.9442  4 Ga 3.25, 2 Hg 3.26, 6 Tb 3.26-3.43
Hg: 0.2220 0.2220 0.4440  8 Tb 3.25-3.26, 4 Ga 3.42-3.43
Ga: 0.7222 0.2222 0.4444  10 Tb 3.25-3.43, 2 Hg 3.42-3.43
Tb: 0.2221 0.7221 0.9442  2 Hg 3.25, 6 Tb 3.25-3.43, 4 Ga 3.26
Tb: 0.7221 0.2222 0.9443  2 Hg 3.25, 6 Tb 3.25-3.43, 4 Ga 3.26
Tb: 0.7221 0.7221 0.9443  4 Ga 3.25, 2 Hg 3.26, 6 Tb 3.26-3.43

---

[8]
A relaxed structure of Tb4Ga12Hg. Source: Alexandria, functional PBE.

Output
Density: 8.2 g cm⁻³
Space-group type: Im-3m
Volume: 339.9 Å³/f.u.
Magnetization: 0.00 μB/atom

abc: 7.6145 7.6145 7.6145
angles: 109.47 109.47 109.47
Last column: nearest neighbours and their distance in Å.
Sites, in units of the cell vectors:
Ga: 0.6870 0.6870 0.0000  4 Ga 2.75, 1 Hg 2.75
Tb: 0.5000 0.0000 0.0000  12 Ga 3.11-3.16
Ga: 0.7500 0.5000 0.2500  4 Ga 2.75
Ga: 0.3130 0.0000 0.3130  4 Ga 2.75, 1 Hg 2.75
Ga: 0.2500 0.7500 0.5000  4 Ga 2.75
Ga: 0.6870 0.0000 0.6870  4 Ga 2.75, 1 Hg 2.75
Ga: 0.5000 0.2500 0.7500  4 Ga 2.75
Tb: 0.5000 0.5000 0.5000  12 Ga 3.11-3.16
Tb: 0.0000 0.5000 0.0000  12 Ga 3.11-3.16
Tb: 0.0000 0.0000 0.5000  12 Ga 3.11-3.16
Ga: 0.0000 0.3130 0.3130  4 Ga 2.75, 1 Hg 2.75
Ga: 0.0000 0.6870 0.6870  4 Ga 2.75, 1 Hg 2.75
Ga: 0.5000 0.7500 0.2500  4 Ga 2.75
Ga: 0.7500 0.2500 0.5000  4 Ga 2.75
Ga: 0.3130 0.3130 0.0000  4 Ga 2.75, 1 Hg 2.75
Hg: 0.0000 0.0000 0.0000  6 Ga 2.75
Ga: 0.2500 0.5000 0.7500  4 Ga 2.75

---

[9]
A relaxed structure of Tb3GaHg2. Source: Alexandria, functional PBE.

Output
Excess energy over the best structure of this formula in the dataset: 0.004 eV per atom
Density: 10.4 g cm⁻³
Space-group type: Cmmm
Volume: 151.2 Å³/f.u.
Magnetization: 0.00 μB/atom

abc: 3.6838 5.2377 15.6688
angles: 90.00 90.00 90.00
Last column: nearest neighbours and their distance in Å.
Sites, in units of the cell vectors:
Ga: 0.0002 0.5000 0.5000  8 Tb 3.11-3.20
Hg: 0.0004 0.0000 0.3305  8 Tb 3.21-3.25
Tb: 0.4997 0.0000 0.8399  2 Ga 3.11, 6 Hg 3.21-3.25
Tb: 0.5003 0.5000 0.6601  2 Ga 3.11, 6 Hg 3.21-3.25
Tb: 0.5003 0.5000 0.3399  2 Ga 3.11, 6 Hg 3.21-3.25
Hg: 0.0004 0.0000 0.6695  8 Tb 3.21-3.25
Hg: 0.9996 0.5000 0.8305  8 Tb 3.21-3.25
Ga: 0.9998 0.0000 0.0000  8 Tb 3.11-3.20
Tb: 0.4998 0.5000 0.0000  4 Ga 3.20, 4 Hg 3.23
Tb: 0.5002 0.0000 0.5000  4 Ga 3.20, 4 Hg 3.23
Tb: 0.4997 0.0000 0.1601  2 Ga 3.11, 6 Hg 3.21-3.25
Hg: 0.9996 0.5000 0.1695  8 Tb 3.21-3.25

---

[10]
A relaxed structure of Tb4GaHg. Source: Alexandria, functional PBE.

Output
Excess energy over the best structure of this formula in the dataset: 0.175 eV per atom
Density: 8.2 g cm⁻³
Space-group type: Cmc2_1
Volume: 183.3 Å³/f.u.
Magnetization: 0.00 μB/atom

abc: 5.1473 6.3736 11.4688
angles: 90.00 102.97 90.00
Last column: nearest neighbours and their distance in Å.
Sites, in units of the cell vectors:
Tb: 0.4345 0.8589 0.8690  3 Hg 2.97-3.23
Hg: 0.5672 0.8528 0.1344  6 Tb 2.93-3.23
Tb: 0.5655 0.3589 0.1310  3 Hg 2.97-3.23
Tb: 0.8726 0.2875 0.7451  2 Hg 2.93, 1 Ga 3.13
Tb: 0.2838 0.0514 0.5676  4 Tb 3.11-3.35, 3 Ga 3.17-3.22
Ga: 0.1632 0.3122 0.3265  8 Tb 3.07-3.39
Tb: 0.1274 0.7875 0.2549  2 Hg 2.93, 1 Ga 3.13
Hg: 0.4328 0.3528 0.8656  6 Tb 2.93-3.23
Tb: 0.3080 0.5706 0.6159  2 Ga 3.07, 5 Tb 3.11-3.37, 1 Hg 3.12
Ga: 0.8368 0.8122 0.6735  8 Tb 3.07-3.39
Tb: 0.7162 0.5514 0.4324  4 Tb 3.11-3.35, 3 Ga 3.17-3.22
Tb: 0.6920 0.0706 0.3841  2 Ga 3.07, 5 Tb 3.11-3.37, 1 Hg 3.12

---

no.,energy of formation from the pure elements (meV per atom)
1,-416
2,-492
3,-510
4,-197
5,-510
6,-499
7,-314
8,-477
9,-505
10,-153